[1]
DFT (PBE) results for CsLiSbS3 after structural relaxation.

Results
Formation energy without anion corrections (meV per atom): -762.0

Cell lengths 7.126, 13.079, 7.030 Å; angles 90.00, 90.00, 90.00 degrees
Space group Cmcm (No. 63)
Unique sites:
Cs1 0.000 0.235 0.250 [4 per cell]
Li1 0.000 0.075 0.750 [4 per cell]
Sb1 0.000 0.451 0.750 [4 per cell]
S1 0.000 0.270 0.750 [4 per cell]
S2 0.237 0.000 0.000 [8 per cell]

***

[2]
DFT (PBE) results for Ac7Pm2Tm2 after structural relaxation.

Results
DFT formation energy (eV/atom): 0.255

Cell lengths 13.280, 10.581, 6.678 Å; angles 90.00, 95.75, 90.00 degrees
Space group C2/m (No. 12)
Unique sites:
Ac1 0.000 0.000 0.000 [2 per cell]
Ac2 0.052 0.500 0.262 [4 per cell]
Ac3 0.235 0.328 0.753 [8 per cell]
Pm1 0.199 0.000 0.702 [4 per cell]
Tm1 0.000 0.174 0.500 [4 per cell]

***

[3]
DFT (PBE) results for PmMgHg6 after structural relaxation.

Results
DFT formation energy (eV/atom): -0.220

Cell lengths 4.972, 7.107, 11.045 Å; angles 90.00, 90.00, 90.00 degrees
Space group Amm2 (No. 38)
Unique sites:
Pm1 0.000 0.000 0.000 [2 per cell]
Mg1 0.500 0.000 0.269 [2 per cell]
Hg1 0.000 0.000 0.466 [2 per cell]
Hg2 0.000 0.240 0.738 [4 per cell]
Hg3 0.500 0.000 0.809 [2 per cell]
Hg4 0.500 0.226 0.544 [4 per cell]

***

| no. | E (eV per cell) |
| --- | --- |
| 1 | -95.377 |
| 2 | -88.797 |
| 3 | -19.837 |